## Ce5ErN6 (PBE)

Data for a relaxed Ce5ErN6 crystal.

Unit cell a=6.1416 b=6.1417 c=6.1412 alpha=60.00 beta=80.43 gamma=70.57
Last column: nearest neighbours and their distance in Å.
Sites, in units of the cell vectors:
Ce 0.5000 0.5000 0.0000  6 N 2.51-2.54
Ce 0.5000 0.1665 0.6670  6 N 2.50-2.55
Ce 0.0000 0.3333 0.3335  6 N 2.50-2.52
Ce 0.5000 0.8335 0.3330  6 N 2.50-2.55
Ce 0.0000 0.6667 0.6666  6 N 2.50-2.52
N 0.2454 0.5896 0.3288  1 Er 2.47, 5 Ce 2.50-2.55
N 0.7546 0.4104 0.6712  1 Er 2.47, 5 Ce 2.50-2.55
N 0.7518 0.7545 0.0000  1 Er 2.48, 5 Ce 2.50-2.54
N 0.2482 0.2455 0.0000  1 Er 2.48, 5 Ce 2.50-2.54
N 0.7546 0.0817 0.3288  1 Er 2.47, 5 Ce 2.50-2.55
N 0.2454 0.9183 0.6712  1 Er 2.47, 5 Ce 2.50-2.55
Er 0.0000 0.0000 0.0000  6 N 2.47-2.48

Summary:
- space-group type = No. 12
- ΔE_f (raw) (eV per atom) = -1.5327
- VASP energy (eV/atom) = -8.55


## Ce3ErN (PBE)

Data for a relaxed Ce3ErN crystal.

Unit cell a=4.9430 b=4.9430 c=4.9430 alpha=90.00 beta=90.00 gamma=90.00
Last column: nearest neighbours and their distance in Å.
Sites, in units of the cell vectors:
Er 0.5000 0.5000 0.5000  12 Ce 3.50
N 0.0000 0.0000 0.0000  6 Ce 2.47
Ce 0.0000 0.0000 0.5000  2 N 2.47
Ce 0.0000 0.5000 0.0000  2 N 2.47
Ce 0.5000 0.0000 0.0000  2 N 2.47

Summary:
- space-group type = No. 221
- ΔE_f (raw) (eV per atom) = -0.5171
- VASP energy (eV/atom) = -6.66


## CeEr2N (PBE)

Data for a relaxed CeEr2N crystal.

Unit cell a=3.1068 b=3.1068 c=8.6458 alpha=90.00 beta=90.00 gamma=90.00
Last column: nearest neighbours and their distance in Å.
Sites, in units of the cell vectors:
Er 0.0000 0.0000 0.8377  4 N 2.61, 1 Er 2.81
Er 0.0000 0.0000 0.1623  4 N 2.61, 1 Er 2.81
N 0.5000 0.5000 0.0000  8 Er 2.61
Ce 0.5000 0.5000 0.5000  4 Ce 3.11

Summary:
- space-group type = No. 123
- ΔE_f (raw) (eV per atom) = -0.2138
- VASP energy (eV/atom) = -6.06
- energy above the lowest structure with this stoichiometry (eV per formula unit) = 1.970


## Ce2ErN3 (PBE)

Data for a relaxed Ce2ErN3 crystal.

Unit cell a=6.0958 b=6.0958 c=6.1071 alpha=99.56 beta=99.56 gamma=119.99
Last column: nearest neighbours and their distance in Å.
Sites, in units of the cell vectors:
Ce 0.3333 0.6667 0.0000  6 N 2.49
Ce 0.5002 0.4998 0.5000  6 N 2.49-2.52
Ce 0.1665 0.8335 0.5000  6 N 2.49-2.52
Ce 0.8333 0.1667 0.5000  6 N 2.50-2.52
N 0.9146 0.5850 0.7551  2 Er 2.46-2.47, 4 Ce 2.49-2.52
N 0.2516 0.2479 0.7551  2 Er 2.46-2.47, 4 Ce 2.49-2.52
N 0.4150 0.0854 0.2449  2 Er 2.46-2.47, 4 Ce 2.49-2.52
N 0.0773 0.4107 0.2430  2 Er 2.46, 4 Ce 2.49-2.52
N 0.7521 0.7484 0.2449  2 Er 2.46-2.47, 4 Ce 2.49-2.52
N 0.5893 0.9227 0.7570  2 Er 2.46, 4 Ce 2.49-2.52
Er 0.9999 0.0001 0.0000  6 N 2.46-2.47
Er 0.6668 0.3332 0.0000  6 N 2.46-2.47

Summary:
- space-group type = No. 12
- ΔE_f (raw) (eV per atom) = -1.5735
- VASP energy (eV/atom) = -8.47


- The highest VASP energy belongs to which entry?
  CeEr2N


- What is the formula in the second record?
  Ce3ErN


- Which formula does entry 2 have?
  Ce3ErN


- Look up the VASP energy of the first one.
  -8.55 eV/atom